[1]
The following is a DFT calculation (PBE) of a relaxed structure of Sr3Cl.

Lattice parameters (Å, degrees): 8.1302 8.1302 13.4721 90.00 90.00 120.00
Closest atoms and distances in Å follow each position.
Space group P6_3/mmc (No. 194)
Inequivalent atoms, fractional coordinates:
Sr1 0.0000 0.5000 0.0000  8 Sr 4.07-4.10, 4 Cl 4.07-4.11
Sr2 0.1667 0.3334 0.2500  8 Sr 4.06-4.10, 4 Cl 4.07-4.11
Cl1 0.0000 0.0000 0.0000  12 Sr 4.07-4.11
Cl2 0.3333 0.6667 0.7500  12 Sr 4.07-4.11

Values from the calculation:
energy relative to the elements, uncorrected: -0.334 eV/atom
relative energy among the computed polymorphs: 47.4 kJ per mole of atoms
total magnetization: 0.00 μB/f.u.

***

[2]
The following is a DFT calculation (PBE) of a relaxed structure of YTa2PtRh.

Lattice parameters (Å, degrees): 4.9183 4.9183 4.8291 90.00 90.00 90.00
Closest atoms and distances in Å follow each position.
Space group P4/mmm (No. 123)
Inequivalent atoms, fractional coordinates:
Y1 0.0000 0.0000 0.0000  2 Pt 2.41, 4 Ta 2.46
Ta1 0.0000 0.5000 0.0000  2 Y 2.46
Pt1 0.0000 0.0000 0.5000  2 Y 2.41
Rh1 0.5000 0.5000 0.5000  8 Ta 3.45, 4 Pt 3.48

Values from the calculation:
formation energy from the elements: 2192 meV/atom
total magnetization: 0.00 μB/f.u.

***

[3]
The following is a DFT calculation (PBE) of a relaxed structure of PrNd3Pb5.

Lattice parameters (Å, degrees): 9.8348 9.8348 6.6323 90.00 90.00 120.00
Closest atoms and distances in Å follow each position.
Space group P6_3/mcm (No. 193)
Inequivalent atoms, fractional coordinates:
Pr1 0.0000 0.0000 0.0000  2 Pr 3.32, 6 Pb 3.33
Nd1 0.0000 0.3782 0.2500  9 Pb 3.23-3.50
Pb1 0.0000 0.2933 0.7500  5 Nd 3.23-3.42, 2 Pr 3.33
Pb2 0.3333 0.6667 0.0000  2 Pb 3.32, 6 Nd 3.50

Values from the calculation:
formation energy from the elements: -472 meV/atom
total magnetization: 0.00 μB/f.u.

***

[4]
The following is a DFT calculation (PBE) of a relaxed structure of SrPm2Ho.

Lattice parameters (Å, degrees): 3.7136 3.7136 37.0031 90.00 90.00 120.00
Closest atoms and distances in Å follow each position.
Space group R3m (No. 160, hexagonal axes)
Inequivalent atoms, fractional coordinates:
Sr1 0.0000 0.0000 0.0000  6 Sr 3.71, 6 Pm 3.96-3.97
Pm1 0.0000 0.0000 0.2434  3 Ho 3.54, 6 Pm 3.71, 3 Sr 3.96
Pm2 0.0000 0.0000 0.4237  3 Ho 3.56, 6 Pm 3.71, 3 Sr 3.97
Ho1 0.0000 0.0000 0.8338  6 Pm 3.54-3.56, 6 Ho 3.71

Values from the calculation:
formation energy from the elements: 103 meV/atom
relative energy among the computed polymorphs: 0.0 kJ per mole of atoms
total magnetization: 0.00 μB/f.u.

***

[5]
The following is a DFT calculation (PBE) of a relaxed structure of BeIr2N.

Lattice parameters (Å, degrees): 4.9463 4.9463 8.9742 90.00 90.00 90.00
Closest atoms and distances in Å follow each position.
Space group I-42d (No. 122)
Inequivalent atoms, fractional coordinates:
Be1 0.0000 0.0000 0.0000  4 Ir 2.21
Ir1 0.2065 0.2500 0.6250  2 N 1.96
N1 0.0000 0.0000 0.5000  4 Ir 1.96

Values from the calculation:
energy relative to the elements, uncorrected: 0.523 eV/atom
relative energy among the computed polymorphs: 0.0 kJ per mole of atoms
total magnetization: 0.00 μB/f.u.

***

[6]
The following is a DFT calculation (PBE) of a relaxed structure of CaAc3Co.

Lattice parameters (Å, degrees): 5.7660 5.7660 5.7660 90.00 90.00 90.00
Closest atoms and distances in Å follow each position.
Space group Pm-3m (No. 221)
Inequivalent atoms, fractional coordinates:
Ca1 0.0000 0.0000 0.0000  12 Ac 4.08
Ac1 0.0000 0.5000 0.5000  2 Co 2.88
Co1 0.5000 0.5000 0.5000  6 Ac 2.88

Values from the calculation:
formation energy from the elements: -24 meV/atom
total magnetization: 0.00 μB/f.u.